(1)
Material: Pr5Ho12Er
Method: DFT, GGA-PBE
State: relaxed

M_tot   0.000 μB/cell

Cell: 11.7165 17.3181 5.7543 Å, 90.00 90.00 90.00°
Closest atoms and distances in Å follow each position.
Space group C2/m (No. 12)
One atom of each set of equivalent atoms:
1 Pr 0.0000 0.0000 0.0000 (multiplicity 2)  10 Ho 3.54-3.73, 4 Pr 3.77
2 Pr 0.0000 0.1405 0.5000 (multiplicity 4)  8 Ho 3.39-3.64, 2 Pr 3.77
3 Pr 0.0000 0.3629 0.0000 (multiplicity 4)  8 Ho 3.32-3.66
4 Ho 0.1552 0.1791 0.9993 (multiplicity 8)  5 Ho 3.31-3.64, 4 Pr 3.47-3.66
5 Ho 0.1568 0.3222 0.5006 (multiplicity 8)  5 Ho 3.32-3.67, 3 Pr 3.48-3.64, 1 Er 3.59
6 Ho 0.1977 0.5000 0.9974 (multiplicity 4)  2 Ho 3.11, 2 Pr 3.32
7 Ho 0.2016 0.0000 0.5027 (multiplicity 4)  2 Ho 3.11, 2 Pr 3.39
8 Er 0.0000 0.5000 0.5000 (multiplicity 2)  10 Ho 3.50-3.71, 4 Pr 3.73



(2)
Material: Pr4Ho6Er
Method: DFT, GGA-PBE
State: relaxed

M_tot   0.000 μB/cell

Cell: 6.6829 6.6829 16.9892 Å, 90.00 90.00 90.00°
Closest atoms and distances in Å follow each position.
Space group I-42m (No. 121)
One atom of each set of equivalent atoms:
1 Pr 0.1900 0.1900 0.1759 (multiplicity 8)  5 Ho 3.42-3.65, 1 Er 3.49, 1 Pr 3.59
2 Ho 0.0000 0.5000 0.0000 (multiplicity 4)  4 Ho 3.22, 2 Er 3.34
3 Ho 0.1772 0.1772 0.3773 (multiplicity 8)  3 Ho 3.22-3.35, 3 Pr 3.42-3.49
4 Er 0.0000 0.0000 0.0000 (multiplicity 2)  8 Ho 3.34-3.69, 4 Pr 3.49



(3)
Material: Pr3Ho2Er
Method: DFT, GGA-PBE
State: relaxed

M_tot   0.000 μB/cell

Cell: 3.4964 5.9764 19.6472 Å, 90.00 90.00 90.00°
Closest atoms and distances in Å follow each position.
Space group Immm (No. 71)
One atom of each set of equivalent atoms:
1 Pr 0.0000 0.0000 0.0000 (multiplicity 2)  2 Er 2.99, 4 Ho 3.21
2 Pr 0.0000 0.5000 0.1880 (multiplicity 4)  5 Ho 3.44-3.60, 2 Pr 3.50, 1 Er 3.69
3 Ho 0.0000 0.5000 0.3628 (multiplicity 4)  3 Pr 3.21-3.44, 2 Ho 3.50
4 Er 0.0000 0.5000 0.0000 (multiplicity 2)  2 Pr 2.99



(4)
Material: Pr2HoEr8
Method: DFT, GGA-PBE
State: relaxed

M_tot   0.000 μB/cell

Cell: 6.1379 6.1429 9.3834 Å, 90.09 96.28 99.57°
Closest atoms and distances in Å follow each position.
Space group P-1 (No. 2)
One atom of each set of equivalent atoms:
1 Pr 0.1378 0.2737 0.0460 (multiplicity 2)  10 Er 3.55-3.58, 2 Pr 3.55-3.56
2 Ho 0.5000 0.0000 0.5000 (multiplicity 1)  12 Er 3.51-3.54
3 Er 0.0443 0.0927 0.6783 (multiplicity 2)  8 Er 3.49-3.55, 2 Ho 3.53-3.54, 2 Pr 3.58
4 Er 0.2277 0.4544 0.4102 (multiplicity 2)  9 Er 3.50-3.55, 2 Ho 3.54, 1 Pr 3.55
5 Er 0.3174 0.6385 0.7684 (multiplicity 2)  8 Er 3.50-3.61, 1 Ho 3.51, 3 Pr 3.55-3.58
6 Er 0.4118 0.8191 0.1396 (multiplicity 2)  1 Ho 3.51, 7 Er 3.53-3.61, 4 Pr 3.55-3.58



(5)
Material: PrHo7Er2
Method: DFT, GGA-PBE
State: relaxed

M_tot   0.000 μB/cell

Cell: 8.7217 15.9433 5.6201 Å, 90.00 90.00 90.00°
Closest atoms and distances in Å follow each position.
Space group Cmmm (No. 65)
One atom of each set of equivalent atoms:
1 Pr 0.0000 0.0000 0.0000 (multiplicity 2)  10 Ho 3.49-3.70
2 Ho 0.0000 0.2191 0.0000 (multiplicity 4)  2 Er 3.07
3 Ho 0.0000 0.5000 0.5000 (multiplicity 2)  2 Er 3.24, 4 Ho 3.37
4 Ho 0.1769 0.1161 0.5000 (multiplicity 8)  2 Ho 3.09-3.37, 2 Er 3.14-3.26
5 Er 0.0000 0.2966 0.5000 (multiplicity 4)  7 Ho 3.07-3.26



(6)
Material: Pr6Ho2Er3
Method: DFT, GGA-PBE
State: relaxed

M_tot   0.000 μB/cell

Cell: 6.1473 6.7932 9.9095 Å, 88.98 88.76 64.62°
Closest atoms and distances in Å follow each position.
Space group P-1 (No. 2)
One atom of each set of equivalent atoms:
1 Pr 0.0955 0.3907 0.3196 (multiplicity 2)  4 Er 3.43-3.82, 3 Ho 3.51-3.83, 4 Pr 3.53-3.78
2 Pr 0.2110 0.2273 0.9529 (multiplicity 2)  4 Er 3.56-3.63, 7 Pr 3.56-3.78, 1 Ho 3.66
3 Pr 0.2499 0.8472 0.2256 (multiplicity 2)  2 Ho 3.39-3.77, 3 Er 3.49-3.70, 5 Pr 3.53-3.71
4 Ho 0.2720 0.0441 0.6032 (multiplicity 2)  1 Ho 3.28, 4 Pr 3.39-3.66, 2 Er 3.48-3.51
5 Er 0.3457 0.6794 0.8680 (multiplicity 2)  1 Ho 3.48, 9 Pr 3.50-3.82, 2 Er 3.52-3.83
6 Er 0.5000 0.5000 0.5000 (multiplicity 1)  6 Pr 3.43-3.82, 2 Ho 3.51, 2 Er 3.83



(7)
Material: PrHo6Er2
Method: DFT, GGA-PBE
State: relaxed

M_tot   0.005 μB/cell

Cell: 7.3088 7.3088 19.0578 Å, 90.00 90.00 120.00°
Closest atoms and distances in Å follow each position.
Space group R3m (No. 160, hexagonal axes)
One atom of each set of equivalent atoms:
1 Pr 0.0000 0.0000 0.0000 (multiplicity 3)  6 Ho 2.85-3.14
2 Ho 0.0137 0.5068 0.4509 (multiplicity 9)  1 Pr 3.14, 4 Ho 3.39-3.50
3 Ho 0.0441 0.5220 0.2520 (multiplicity 9)  1 Pr 2.85, 2 Ho 3.17
4 Er 0.0000 0.0000 0.2622 (multiplicity 3)  1 Er 3.36, 9 Ho 3.52-3.67
5 Er 0.0000 0.0000 0.4386 (multiplicity 3)  9 Ho 3.34-3.66, 1 Er 3.36



(8)
Material: Pr4Ho3Er8
Method: DFT, GGA-PBE
State: relaxed

M_tot   0.011 μB/cell

Cell: 13.3865 12.8524 6.7363 Å, 90.00 119.96 90.00°
Closest atoms and distances in Å follow each position.
Space group C2/m (No. 12)
One atom of each set of equivalent atoms:
1 Pr 0.0000 0.0000 0.0000 (multiplicity 2)  6 Er 3.29-3.53, 2 Pr 3.37
2 Pr 0.0000 0.0000 0.5000 (multiplicity 2)  2 Pr 3.37, 4 Er 3.55-3.63
3 Pr 0.2500 0.2500 0.0000 (multiplicity 4)  4 Er 3.22-3.35, 2 Ho 3.37
4 Ho 0.0000 0.5000 0.0000 (multiplicity 2)  6 Er 3.14-3.20
5 Ho 0.2500 0.2500 0.5000 (multiplicity 4)  4 Er 3.22-3.36, 2 Pr 3.37
6 Er 0.0000 0.2559 0.0000 (multiplicity 4)  3 Ho 3.14-3.36, 3 Pr 3.29-3.35
7 Er 0.0000 0.3637 0.5000 (multiplicity 4)  7 Er 3.50-3.64, 4 Ho 3.65-3.80, 2 Pr 3.66
8 Er 0.2288 0.5000 0.9622 (multiplicity 4)  1 Ho 3.20, 3 Pr 3.22-3.51, 4 Er 3.23-3.55
9 Er 0.2316 0.5000 0.4860 (multiplicity 4)  3 Ho 3.19-3.22, 2 Er 3.23-3.51, 2 Pr 3.53-3.55



no.,calculated total energy (eV per atom)
1,-4.543
2,-4.357
3,-4.327
4,-4.579
5,-3.892
6,-4.606
7,-4.248
8,-4.258